Computed, not measured: an optimized crystal structure of Zr2NbIr at the GGA-PBE level of DFT.

Cell: 4.7093 4.7093 4.7093 Å, 60.00 60.00 60.00°
With the nearest neighbours (Å) after each atom.
Atoms (fractional coordinates):
1 Nb 0.5000 0.5000 0.5000  4 Zr 2.88, 4 Ir 2.88
2 Zr 0.0000 0.0000 0.0000  4 Ir 2.88, 4 Zr 2.88
3 Zr 0.7500 0.7500 0.7500  4 Nb 2.88, 4 Zr 2.88
4 Ir 0.2500 0.2500 0.2500  4 Zr 2.88, 4 Nb 2.88

Properties
space group: F-43m
theoretical density: 10.5 g/cm3
formation enthalpy at 0 K: -0.300 eV/atom
magnetization: 0.01 μB/f.u.
electronic total energy: -37.243 eV/cell